1.
NaPaSe2: relaxed, GGA-PBE.

abc: 7.098 7.476 9.197
angles: 106.24 104.62 109.18
Each line ends with the local moment (μB).
Atoms (fractional coordinates):
Na: 0.434 0.684 0.368  0.00
Na: 0.190 0.440 0.879  0.00
Na: 0.566 0.316 0.632  0.00
Na: 0.810 0.560 0.121  0.00
Pa: 0.315 0.065 0.129  1.46
Pa: 0.685 0.935 0.871  1.46
Pa: 0.063 0.813 0.625  1.40
Pa: 0.937 0.187 0.375  1.40
Se: 0.566 0.824 0.124  -0.03
Se: 0.058 0.300 0.124  -0.03
Se: 0.434 0.176 0.876  -0.03
Se: 0.942 0.700 0.876  -0.03
Se: 0.307 0.564 0.623  -0.03
Se: 0.184 0.941 0.377  -0.03
Se: 0.693 0.436 0.377  -0.03
Se: 0.816 0.059 0.623  -0.03

Properties
Energy relative to the elements, uncorrected ... -1246 meV/atom

2.
Na2Pa3Se8: relaxed, GGA-PBE.

abc: 7.218 8.441 8.387
angles: 120.21 104.81 90.00
Each line ends with the local moment (μB).
Atoms (fractional coordinates):
Na: 0.360 0.272 0.544  0.00
Na: 0.640 0.728 0.456  0.00
Pa: 0.500 0.000 0.000  0.42
Pa: 0.000 0.257 0.000  0.42
Pa: 0.000 0.743 0.000  0.42
Se: 0.933 0.613 0.227  -0.02
Se: 0.067 0.387 0.773  -0.02
Se: 0.899 0.108 0.217  -0.02
Se: 0.101 0.892 0.783  -0.02
Se: 0.612 0.658 0.780  -0.02
Se: 0.612 0.122 0.780  -0.02
Se: 0.388 0.878 0.220  -0.02
Se: 0.388 0.342 0.220  -0.02

Properties
Energy relative to the elements, uncorrected ... -1309 meV/atom

- Which formula does entry 2 have?
  Na2Pa3Se8